This record from the Alexandria database describes a geometry-optimized Be2FeIrCl structure. The functional is PBE-GGA.

Computed properties:
energy relative to the elements, uncorrected	1.22	eV/atom
total energy	-4.107	eV per atom

a b c (Å): 4.1013 4.1013 4.0068
angles (deg): 90.00 90.00 90.00
With the nearest neighbours (Å) after each atom.
Positions (direct):
Be (0.0000, 0.5000, 0.0000)  2 Fe 2.05
Be (0.5000, 0.0000, 0.0000)  2 Fe 2.05
Fe (0.0000, 0.0000, 0.0000)  2 Cl 2.00, 4 Be 2.05
Ir (0.5000, 0.5000, 0.5000)  8 Be 2.87, 4 Cl 2.90
Cl (0.0000, 0.0000, 0.5000)  2 Fe 2.00